1.
DFT (PBE-GGA) results for Zn2HgPd8 after structural relaxation.

As for the distance to the lowest polymorph of the same formula: 0.0 meV/atom. The value obtained for the formation energy is -3.1 eV/f.u. The calculation puts the electronic total energy at -4.314 eV per atom.

The space group is C2/m (No. 12) and the conventional cell measures 14.047, 4.039 and 6.323 Å, with angles of 90.00, 107.46 and 90.00 degrees. The asymmetric unit holds Zn at (0.224, 0.000, 0.149), Hg at (0.000, 0.500, 0.500), Pd at (0.046, 0.000, 0.224), Pd at (0.100, 0.500, 0.969), Pd at (0.148, 0.000, 0.708) and Pd at (0.182, 0.500, 0.419).

2.
DFT (PBE-GGA) results for ZnHg3Pd6 after structural relaxation.

As for the distance to the lowest polymorph of the same formula: 0.0 meV/atom. The value obtained for the formation energy is -2.3 eV/f.u. The calculation puts the electronic total energy at -3.562 eV per atom.

The space group is P2_1/m (No. 11) and the conventional cell measures 7.812, 4.634 and 9.789 Å, with angles of 90.00, 108.04 and 90.00 degrees. The asymmetric unit holds Zn at (0.048, 0.250, 0.404), Hg at (0.229, 0.250, 0.005), Hg at (0.358, 0.750, 0.788), Hg at (0.462, 0.250, 0.609), Pd at (0.054, 0.750, 0.876), Pd at (0.137, 0.250, 0.688), Pd at (0.149, 0.750, 0.190), Pd at (0.228, 0.750, 0.489), Pd at (0.327, 0.250, 0.310) and Pd at (0.452, 0.750, 0.087).

3.
DFT (PBE-GGA) results for ZnHgPd6 after structural relaxation.

As for the distance to the lowest polymorph of the same formula: 27.4 meV/atom. The value obtained for the formation energy is -1.5 eV/f.u. The calculation puts the electronic total energy at -4.283 eV per atom.

The space group is P4/mmm (No. 123) and the conventional cell measures 4.000, 4.000 and 7.909 Å, with angles of 90.00, 90.00 and 90.00 degrees. The asymmetric unit holds Zn at (0.000, 0.000, 0.000), Hg at (0.000, 0.000, 0.500), Pd at (0.000, 0.500, 0.237), Pd at (0.500, 0.500, 0.000) and Pd at (0.500, 0.500, 0.500).

4.
DFT (PBE-GGA) results for ZnHgPd after structural relaxation.

As for the distance to the lowest polymorph of the same formula: 0.0 meV/atom. The value obtained for the formation energy is -0.6 eV/f.u. The calculation puts the electronic total energy at -2.454 eV per atom.

The space group is I4mm (No. 107) and the conventional cell measures 3.238, 3.238 and 9.822 Å, with angles of 90.00, 90.00 and 90.00 degrees. The asymmetric unit holds Zn at (0.000, 0.000, 0.000), Hg at (0.000, 0.000, 0.685) and Pd at (0.000, 0.000, 0.374).

5.
DFT (PBE-GGA) results for Zn2HgPd8 after structural relaxation.

As for the distance to the lowest polymorph of the same formula: 58.3 meV/atom. The value obtained for the formation energy is -2.4 eV/f.u. The calculation puts the electronic total energy at -4.256 eV per atom.

The space group is Immm (No. 71) and the conventional cell measures 4.159, 6.906 and 12.282 Å, with angles of 90.00, 90.00 and 90.00 degrees. The asymmetric unit holds Zn at (0.000, 0.000, 0.194), Hg at (0.000, 0.000, 0.500), Pd at (0.000, 0.195, 0.000), Pd at (0.000, 0.283, 0.339) and Pd at (0.000, 0.500, 0.154).

6.
DFT (PBE-GGA) results for Zn2HgPd9 after structural relaxation.

The value obtained for the formation energy is -2.7 eV/f.u. The calculation puts the electronic total energy at -4.357 eV per atom.

The space group is P4/mmm (No. 123) and the conventional cell measures 3.972, 3.972 and 11.818 Å, with angles of 90.00, 90.00 and 90.00 degrees. The asymmetric unit holds Zn at (0.000, 0.000, 0.162), Hg at (0.000, 0.000, 0.500), Pd at (0.000, 0.500, 0.000), Pd at (0.000, 0.500, 0.322), Pd at (0.500, 0.500, 0.161) and Pd at (0.500, 0.500, 0.500).

7.
DFT (PBE-GGA) results for Zn3HgPd after structural relaxation.

As for the distance to the lowest polymorph of the same formula: 0.0 meV/atom. The value obtained for the formation energy is 0.2 eV/f.u. The calculation puts the electronic total energy at -1.827 eV per atom.

The space group is Pm-3m (No. 221) and the conventional cell measures 4.884, 4.884 and 4.884 Å, with angles of 90.00, 90.00 and 90.00 degrees. The asymmetric unit holds Zn at (0.000, 0.000, 0.500), Hg at (0.500, 0.500, 0.500) and Pd at (0.000, 0.000, 0.000).

8.
DFT (PBE-GGA) results for Zn2HgPd after structural relaxation.

The value obtained for the formation energy is -0.8 eV/f.u. The calculation puts the electronic total energy at -2.217 eV per atom.

The space group is P4/mmm (No. 123) and the conventional cell measures 3.203, 3.203 and 6.504 Å, with angles of 90.00, 90.00 and 90.00 degrees. The asymmetric unit holds Zn at (0.000, 0.000, 0.215), Hg at (0.500, 0.500, 0.500) and Pd at (0.500, 0.500, 0.000).

9.
DFT (PBE-GGA) results for Zn3HgPd12 after structural relaxation.

The value obtained for the formation energy is -3.9 eV/f.u. The calculation puts the electronic total energy at -4.396 eV per atom.

The space group is P4/mmm (No. 123) and the conventional cell measures 3.956, 3.956 and 15.744 Å, with angles of 90.00, 90.00 and 90.00 degrees. The asymmetric unit holds Zn at (0.000, 0.000, 0.000), Zn at (0.000, 0.000, 0.245), Hg at (0.000, 0.000, 0.500), Pd at (0.000, 0.500, 0.122), Pd at (0.000, 0.500, 0.366), Pd at (0.500, 0.500, 0.000), Pd at (0.500, 0.500, 0.244) and Pd at (0.500, 0.500, 0.500).

10.
DFT (PBE-GGA) results for ZnHg3Pd6 after structural relaxation.

As for the distance to the lowest polymorph of the same formula: 149.2 meV/atom. The value obtained for the formation energy is -0.8 eV/f.u. The calculation puts the electronic total energy at -3.412 eV per atom.

The space group is Cmc2_1 (No. 36) and the conventional cell measures 11.143, 13.031 and 4.879 Å, with angles of 90.00, 90.00 and 90.00 degrees. The asymmetric unit holds Zn at (0.000, 0.151, 0.000), Hg at (0.000, 0.369, 0.908), Hg at (0.206, 0.093, 0.301), Pd at (0.000, 0.047, 0.576), Pd at (0.000, 0.253, 0.428), Pd at (0.126, 0.439, 0.387) and Pd at (0.197, 0.210, 0.791).

11.
DFT (PBE-GGA) results for ZnHgPd6 after structural relaxation.

As for the distance to the lowest polymorph of the same formula: 0.0 meV/atom. The value obtained for the formation energy is -1.8 eV/f.u. The calculation puts the electronic total energy at -4.311 eV per atom.

The space group is C2/m (No. 12) and the conventional cell measures 8.849, 4.016 and 7.982 Å, with angles of 90.00, 116.79 and 90.00 degrees. The asymmetric unit holds Zn at (0.000, 0.000, 0.000), Hg at (0.000, 0.000, 0.500), Pd at (0.002, 0.500, 0.241), Pd at (0.247, 0.000, 0.366) and Pd at (0.250, 0.000, 0.881).

12.
DFT (PBE-GGA) results for Zn2HgPd after structural relaxation.

The value obtained for the formation energy is -0.2 eV/f.u. The calculation puts the electronic total energy at -2.053 eV per atom.

The space group is R3m (No. 160, hexagonal axes) and the conventional cell measures 3.6508, 3.6508 and 19.7245 Å, with angles of 90.00, 90.00 and 120.00 degrees. The asymmetric unit holds Zn at (0.0000, 0.0000, 0.0000), Zn at (0.0000, 0.0000, 0.1882), Hg at (0.0000, 0.0000, 0.7607) and Pd at (0.0000, 0.0000, 0.5956).

- What is the electronic total energy in the eighth record?
  -2.217 eV per atom

- Among the records above, which one has the highest electronic total energy?
  Zn3HgPd

- What is the electronic total energy in the seventh record?
  -1.827 eV per atom

What did the first record say?
DFT (PBE-GGA) results for Zn2HgPd8 after structural relaxation.

As for the distance to the lowest polymorph of the same formula: 0.0 meV/atom. The value obtained for the formation energy is -3.1 eV/f.u. The calculation puts the electronic total energy at -4.314 eV per atom.

The space group is C2/m (No. 12) and the conventional cell measures 14.047, 4.039 and 6.323 Å, with angles of 90.00, 107.46 and 90.00 degrees. The asymmetric unit holds Zn at (0.224, 0.000, 0.149), Hg at (0.000, 0.500, 0.500), Pd at (0.046, 0.000, 0.224), Pd at (0.100, 0.500, 0.969), Pd at (0.148, 0.000, 0.708) and Pd at (0.182, 0.500, 0.419).